Cd6GaHg4 | PBE | optimized geometry

Cell lengths 8.629, 9.011, 7.350 Å; angles 90.00, 110.99, 90.00 degrees
Space group Cm (No. 8)
Unique sites:
Cd  0.000  0.000  0.000 x2
Cd  0.018  0.219  0.341 x4
Cd  0.366  0.242  0.676 x4
Cd  0.416  0.000  0.005 x2
Ga  0.106  0.000  0.665 x2
Hg  0.202  0.306  0.985 x4
Hg  0.229  0.500  0.401 x2
Hg  0.321  0.000  0.370 x2

Values from the calculation:
VASP energy = -0.850 eV/atom
crystal system = monoclinic
density of states at the Fermi level = 2.8 states/eV/f.u.

---

Cd5GaHg4 | PBE | optimized geometry

Cell lengths 3.697, 3.697, 17.427 Å; angles 90.00, 90.00, 90.00 degrees
Space group P4/mmm (No. 123)
Unique sites:
Cd  0.000  0.000  0.000 x1
Cd  0.000  0.000  0.203 x2
Cd  0.000  0.000  0.405 x2
Ga  0.500  0.500  0.500 x1
Hg  0.500  0.500  0.101 x2
Hg  0.500  0.500  0.305 x2

Values from the calculation:
VASP energy = -0.834 eV/atom
crystal system = tetragonal
density of states at the Fermi level = 4.2 states/eV/f.u.

---

Cd4GaHg7 | PBE | optimized geometry

Cell lengths 12.335, 3.750, 13.169 Å; angles 90.00, 92.62, 90.00 degrees
Space group Cm (No. 8)
Unique sites:
Cd  0.000  0.000  0.000 x2
Cd  0.043  0.500  0.593 x2
Cd  0.249  0.500  0.299 x2
Cd  0.375  0.000  0.150 x2
Ga  0.198  0.000  0.709 x2
Hg  0.062  0.000  0.233 x2
Hg  0.073  0.500  0.831 x2
Hg  0.194  0.000  0.475 x2
Hg  0.198  0.500  0.056 x2
Hg  0.322  0.000  0.894 x2
Hg  0.366  0.500  0.655 x2
Hg  0.435  0.000  0.392 x2

Values from the calculation:
VASP energy = -0.702 eV/atom
crystal system = monoclinic
density of states at the Fermi level = 3.2 states/eV/f.u.

---

> Which formula does entry 1 have?

Cd6GaHg4